Record 1
The following is a DFT calculation (PBE) of an optimized crystal structure of PaInSb.

Calculated values
E_form (uncorrected) (meV per atom): -41
Calculated density (kg/m³): 10192
ΔE to the lowest computed polymorph (meV per atom): 248
Space group: No. 187

The structure in POSCAR format:
```
PaInSb
1.0
-2.0357 -1.9363 1.3549
3.5410 -3.9451 -0.3177
-0.1156 3.1250 4.2923
Sb Pa In
1 1 1
direct
0.1676 0.0000 0.0000
0.6663 0.6667 0.3333
0.1661 0.3333 0.6667
```

=====

Record 2
The following is a DFT calculation (PBE) of an optimized crystal structure of Pa2InSb.

Calculated values
E_form (uncorrected) (meV per atom): -41
Calculated density (kg/m³): 11180
ΔE to the lowest computed polymorph (meV per atom): 99
Space group: No. 225

The structure in POSCAR format:
```
Pa2InSb
1.0
-2.0780 -4.7853 -0.7779
0.9457 -2.5864 -4.4987
3.1109 -4.2597 0.0107
Sb Pa In
1 2 1
direct
0.5000 0.5000 0.5000
0.2500 0.2500 0.2500
0.7500 0.7500 0.7500
0.0000 0.0000 0.0000
```

=====

Record 3
The following is a DFT calculation (PBE) of an optimized crystal structure of PaInSb2.

Calculated values
E_form (uncorrected) (meV per atom): -152
Calculated density (kg/m³): 7721
ΔE to the lowest computed polymorph (meV per atom): 202
Space group: No. 160

The structure in POSCAR format:
```
PaInSb2
1.0
-2.9235 -2.4539 -2.6192
0.7725 -4.5051 -0.7322
-4.3986 -3.8523 4.4281
Pa In Sb
1 1 2
direct
0.6629 0.6629 0.0113
0.4971 0.4971 0.5088
0.0776 0.0776 0.7672
0.2624 0.2624 0.2127
```

=====

Record 4
The following is a DFT calculation (PBE) of an optimized crystal structure of PaIn2Sb.

Calculated values
E_form (uncorrected) (meV per atom): -267
Calculated density (kg/m³): 9652
ΔE to the lowest computed polymorph (meV per atom): 0
Space group: No. 123

The structure in POSCAR format:
```
PaIn2Sb
1.0
-1.5753 -4.3467 -1.8359
1.8791 0.9890 -3.9539
3.8198 -1.9456 1.3288
Sb Pa In
1 1 2
direct
0.5000 0.0000 0.0000
0.5000 0.5000 0.5000
0.0000 0.0000 0.5000
0.0000 0.5000 0.0000
```

=====

Record 5
The following is a DFT calculation (PBE) of an optimized crystal structure of Pa2InSb.

Calculated values
E_form (uncorrected) (meV per atom): -115
Calculated density (kg/m³): 11327
ΔE to the lowest computed polymorph (meV per atom): 25
Space group: No. 123

The structure in POSCAR format:
```
Pa2InSb
1.0
4.4853 0.0000 0.0000
0.0000 4.7787 0.0000
0.0000 0.0000 4.7787
Sb Pa In
1 2 1
direct
0.5000 0.0000 0.0000
0.0000 0.0000 0.5000
0.0000 0.5000 0.0000
0.5000 0.5000 0.5000
```

=====

Record 6
The following is a DFT calculation (PBE) of an optimized crystal structure of PaInSb.

Calculated values
E_form (uncorrected) (meV per atom): -84
Calculated density (kg/m³): 9984
ΔE to the lowest computed polymorph (meV per atom): 205
Space group: No. 107

The structure in POSCAR format:
```
PaInSb
1.0
-2.3874 -2.6326 -1.4098
2.9814 -1.9973 -1.3191
-0.0579 -0.3612 5.9568
Sb Pa In
1 1 1
direct
0.6687 0.6687 0.3374
0.0078 0.0078 0.0157
0.3235 0.3235 0.6469
```

=====

Record 7
The following is a DFT calculation (PBE) of an optimized crystal structure of PaInSb.

Calculated values
E_form (uncorrected) (meV per atom): -288
Calculated density (kg/m³): 9562
ΔE to the lowest computed polymorph (meV per atom): 0
Space group: No. 129

The structure in POSCAR format:
```
PaInSb
1.0
-3.1165 -1.8322 2.4173
2.9879 -2.4511 1.9943
1.0311 6.1012 5.9538
Pa In Sb
2 2 2
direct
0.0000 0.5000 0.6962
0.5000 0.0000 0.3038
0.0000 0.0000 0.0000
0.5000 0.5000 0.0000
0.0000 0.5000 0.3337
0.5000 0.0000 0.6663
```

=====

Record 8
The following is a DFT calculation (PBE) of an optimized crystal structure of Pa2InSb3.

Calculated values
E_form (uncorrected) (meV per atom): -443
Calculated density (kg/m³): 9582
Space group: No. 115

The structure in POSCAR format:
```
Pa2InSb3
1.0
4.3274 0.0000 0.0000
0.0000 4.3274 0.0000
0.0000 0.0000 8.7192
Pa In Sb
2 1 3
direct
0.5000 0.0000 0.7130
0.0000 0.5000 0.2870
0.5000 0.5000 0.0000
0.5000 0.0000 0.3524
0.0000 0.5000 0.6476
0.0000 0.0000 0.0000
```